[1]
A relaxed structure of CdHgP2. Source: Alexandria via LeMat-Bulk, functional GGA-PBEsol.

Cell: 3.838 3.838 5.295 Å, 90.00 90.00 90.00°
Space group P4/mmm (No. 123)
Unique sites:
1 Cd 0.000 0.000 0.000 [1 per cell]
2 Hg 0.500 0.500 0.000 [1 per cell]
3 P 0.000 0.000 0.500 [1 per cell]
4 P 0.500 0.500 0.500 [1 per cell]

Output
energy relative to the elements	345	meV/atom
DOS(E_F)	0.3940	states/eV/atom
calculated volume	78	Å³/cell


[2]
A relaxed structure of NiIrPt. Source: Alexandria via LeMat-Bulk, functional GGA-PBEsol.

Cell: 2.6908 2.6908 6.3690 Å, 90.00 90.00 120.00°
Space group P3m1 (No. 156)
Unique sites:
1 Ni 0.0000 0.0000 0.0000 [1 per cell]
2 Ir 0.3333 0.6667 0.3106 [1 per cell]
3 Pt 0.6667 0.3333 0.6723 [1 per cell]

Output
energy relative to the elements	26	meV/atom
DOS(E_F)	1.5545	states/eV/atom
calculated volume	40	Å³/cell


[3]
A relaxed structure of YTcSe2. Source: Alexandria via LeMat-Bulk, functional GGA-PBEsol.

Cell: 3.795 3.795 10.665 Å, 90.00 90.00 90.00°
Space group I-4m2 (No. 119)
Unique sites:
1 Y 0.000 0.000 0.000 [2 per cell]
2 Tc 0.000 0.500 0.750 [2 per cell]
3 Se 0.000 0.000 0.500 [2 per cell]
4 Se 0.000 0.500 0.250 [2 per cell]

Output
DOS(E_F)	1.0921	states/eV/atom
formation energy from raw total energies	-333	meV/atom
calculated volume	154	Å³/cell